Record 1
VASP calculation (GGA-PBE) on PmSmTlPb after structural relaxation.

Results
calculated formation energy = -416 meV/atom
density = 10.0 g/cm³

The structure in CIF format:
```
data_PmSmTlPb
_cell_length_a 7.783
_cell_length_b 7.783
_cell_length_c 7.783
_cell_angle_alpha 90.00
_cell_angle_beta 90.00
_cell_angle_gamma 90.00
_symmetry_space_group_name_H-M 'F -4 3 m'
_symmetry_Int_Tables_number 216
_symmetry_space_group_name_Hall 'F -4 2 3'
loop_
_atom_site_label
_atom_site_fract_x
_atom_site_fract_y
_atom_site_fract_z
_atom_site_occupancy
Pm1 0.000 0.000 0.000 1
Sm1 0.000 0.000 0.500 1
Tl1 0.250 0.250 0.750 1
Pb1 0.250 0.250 0.250 1
```

=====

Record 2
VASP calculation (GGA-PBE) on PmSmTmPb after structural relaxation.

Results
calculated formation energy = -141 meV/atom
density = 9.3 g/cm³

The structure in CIF format:
```
data_PmSmTmPb
_cell_length_a 7.840
_cell_length_b 7.840
_cell_length_c 7.840
_cell_angle_alpha 90.00
_cell_angle_beta 90.00
_cell_angle_gamma 90.00
_symmetry_space_group_name_H-M 'F -4 3 m'
_symmetry_Int_Tables_number 216
_symmetry_space_group_name_Hall 'F -4 2 3'
loop_
_atom_site_label
_atom_site_fract_x
_atom_site_fract_y
_atom_site_fract_z
_atom_site_occupancy
Pm1 0.000 0.000 0.000 1
Sm1 0.000 0.000 0.500 1
Tm1 0.250 0.250 0.750 1
Pb1 0.250 0.250 0.250 1
```

=====

Record 3
VASP calculation (GGA-PBE) on Pm2Sm3Y6Pb after structural relaxation.

Results
calculated formation energy = -69 meV/atom
density = 6.4 g/cm³

The structure in CIF format:
```
data_Pm2Sm3Y6Pb
_cell_length_a 6.176
_cell_length_b 10.701
_cell_length_c 11.800
_cell_angle_alpha 90.00
_cell_angle_beta 100.11
_cell_angle_gamma 90.00
_symmetry_space_group_name_H-M 'C 1 2/m 1'
_symmetry_Int_Tables_number 12
loop_
_symmetry_equiv_pos_as_xyz
'x,y,z'
'-x,-y,-z'
'-x,y,-z'
'x,-y,z'
'x+1/2,y+1/2,z'
'-x+1/2,-y+1/2,-z'
'-x+1/2,y+1/2,-z'
'x+1/2,-y+1/2,z'
loop_
_atom_site_label
_atom_site_fract_x
_atom_site_fract_y
_atom_site_fract_z
_atom_site_occupancy
Pm1 0.000 0.166 0.000 1
Sm1 0.000 0.000 0.500 1
Sm2 0.000 0.333 0.500 1
Y1 0.244 0.500 0.752 1
Y2 0.245 0.337 0.247 1
Pb1 0.000 0.500 0.000 1
```

=====

Record 4
VASP calculation (GGA-PBE) on PmSmZnPb after structural relaxation.

Results
calculated formation energy = -401 meV/atom
density = 8.7 g/cm³

The structure in CIF format:
```
data_PmSmZnPb
_cell_length_a 7.572
_cell_length_b 7.572
_cell_length_c 7.572
_cell_angle_alpha 90.00
_cell_angle_beta 90.00
_cell_angle_gamma 90.00
_symmetry_space_group_name_H-M 'F -4 3 m'
_symmetry_Int_Tables_number 216
_symmetry_space_group_name_Hall 'F -4 2 3'
loop_
_atom_site_label
_atom_site_fract_x
_atom_site_fract_y
_atom_site_fract_z
_atom_site_occupancy
Pm1 0.000 0.000 0.000 1
Sm1 0.000 0.000 0.500 1
Zn1 0.250 0.250 0.750 1
Pb1 0.250 0.250 0.250 1
```

=====

Record 5
VASP calculation (GGA-PBE) on Pm2SmZn2Pb2 after structural relaxation.

Results
calculated formation energy = -220 meV/atom
density = 8.6 g/cm³

The structure in CIF format:
```
data_Pm2SmZn2Pb2
_cell_length_a 4.7944
_cell_length_b 4.7944
_cell_length_c 28.6036
_cell_angle_alpha 90.00
_cell_angle_beta 90.00
_cell_angle_gamma 120.00
_symmetry_space_group_name_H-M 'R -3 m'
_symmetry_Int_Tables_number 166
_symmetry_space_group_name_Hall '-R 3 2"'
loop_
_atom_site_label
_atom_site_fract_x
_atom_site_fract_y
_atom_site_fract_z
_atom_site_occupancy
Pm1 0.0000 0.0000 0.1317 1
Sm1 0.0000 0.0000 0.0000 1
Zn1 0.0000 0.0000 0.4248 1
Pb1 0.0000 0.0000 0.2707 1
```

=====

Record 6
VASP calculation (GGA-PBE) on Pm4Sn3Pb after structural relaxation.

Results
calculated formation energy = -724 meV/atom
density = 7.9 g/cm³

The structure in CIF format:
```
data_Pm4Sn3Pb
_cell_length_a 4.413
_cell_length_b 4.633
_cell_length_c 11.741
_cell_angle_alpha 90.00
_cell_angle_beta 90.00
_cell_angle_gamma 90.00
_symmetry_space_group_name_H-M 'P m m 2'
_symmetry_Int_Tables_number 25
loop_
_symmetry_equiv_pos_as_xyz
'x,y,z'
'-x,-y,z'
'-x,y,z'
'x,-y,z'
loop_
_atom_site_label
_atom_site_fract_x
_atom_site_fract_y
_atom_site_fract_z
_atom_site_occupancy
Pm1 0.000 0.000 0.000 1
Pm2 0.000 0.500 0.495 1
Pm3 0.500 0.000 0.728 1
Pm4 0.500 0.500 0.228 1
Sn1 0.000 0.000 0.273 1
Sn2 0.500 0.000 0.454 1
Sn3 0.500 0.500 0.956 1
Pb1 0.000 0.500 0.769 1
```

=====

Record 7
VASP calculation (GGA-PBE) on Pm4SnPb3 after structural relaxation.

Results
calculated formation energy = -611 meV/atom
density = 8.9 g/cm³

The structure in CIF format:
```
data_Pm4SnPb3
_cell_length_a 4.486
_cell_length_b 4.633
_cell_length_c 11.859
_cell_angle_alpha 90.00
_cell_angle_beta 90.00
_cell_angle_gamma 90.00
_symmetry_space_group_name_H-M 'P m m 2'
_symmetry_Int_Tables_number 25
loop_
_symmetry_equiv_pos_as_xyz
'x,y,z'
'-x,-y,z'
'-x,y,z'
'x,-y,z'
loop_
_atom_site_label
_atom_site_fract_x
_atom_site_fract_y
_atom_site_fract_z
_atom_site_occupancy
Pm1 0.000 0.000 0.000 1
Pm2 0.000 0.500 0.495 1
Pm3 0.500 0.000 0.732 1
Pm4 0.500 0.500 0.232 1
Sn1 0.000 0.000 0.270 1
Pb1 0.000 0.500 0.767 1
Pb2 0.500 0.000 0.459 1
Pb3 0.500 0.500 0.961 1
```

=====

Record 8
VASP calculation (GGA-PBE) on Pm2Sn2Pb after structural relaxation.

Results
calculated formation energy = -619 meV/atom
density = 8.2 g/cm³

The structure in CIF format:
```
data_Pm2Sn2Pb
_cell_length_a 8.174
_cell_length_b 8.174
_cell_length_c 4.452
_cell_angle_alpha 90.00
_cell_angle_beta 90.00
_cell_angle_gamma 90.00
_symmetry_space_group_name_H-M 'P 4/m b m'
_symmetry_Int_Tables_number 127
_symmetry_space_group_name_Hall '-P 4 2ab'
loop_
_atom_site_label
_atom_site_fract_x
_atom_site_fract_y
_atom_site_fract_z
_atom_site_occupancy
Pm1 0.176 0.324 0.000 1
Sn1 0.125 0.625 0.500 1
Pb1 0.000 0.000 0.500 1
```

=====

Record 9
VASP calculation (GGA-PBE) on Pm3Sn3Pb2 after structural relaxation.

Results
calculated formation energy = -541 meV/atom
density = 8.7 g/cm³

The structure in CIF format:
```
data_Pm3Sn3Pb2
_cell_length_a 4.519
_cell_length_b 4.685
_cell_length_c 21.795
_cell_angle_alpha 90.00
_cell_angle_beta 90.00
_cell_angle_gamma 90.00
_symmetry_space_group_name_H-M 'I m m m'
_symmetry_Int_Tables_number 71
_symmetry_space_group_name_Hall '-I 2 2'
loop_
_atom_site_label
_atom_site_fract_x
_atom_site_fract_y
_atom_site_fract_z
_atom_site_occupancy
Pm1 0.000 0.000 0.000 1
Pm2 0.000 0.500 0.368 1
Sn1 0.000 0.000 0.500 1
Sn2 0.000 0.500 0.110 1
Pb1 0.000 0.000 0.252 1
```

=====

Record 10
VASP calculation (GGA-PBE) on PmSnPb after structural relaxation.

Results
relative energy among the computed polymorphs = 398 meV per atom
calculated formation energy = -146 meV/atom
density = 7.6 g/cm³

The structure in CIF format:
```
data_PmSnPb
_cell_length_a 7.434
_cell_length_b 7.434
_cell_length_c 7.434
_cell_angle_alpha 90.00
_cell_angle_beta 90.00
_cell_angle_gamma 90.00
_symmetry_space_group_name_H-M 'F -4 3 m'
_symmetry_Int_Tables_number 216
_symmetry_space_group_name_Hall 'F -4 2 3'
loop_
_atom_site_label
_atom_site_fract_x
_atom_site_fract_y
_atom_site_fract_z
_atom_site_occupancy
Pm1 0.000 0.000 0.000 1
Sn1 0.250 0.250 0.750 1
Pb1 0.250 0.250 0.250 1
```

=====

Record 11
VASP calculation (GGA-PBE) on Pm5Sn2Pb5 after structural relaxation.

Results
calculated formation energy = -372 meV/atom
density = 8.6 g/cm³

The structure in CIF format:
```
data_Pm5Sn2Pb5
_cell_length_a 16.391
_cell_length_b 4.571
_cell_length_c 10.404
_cell_angle_alpha 90.00
_cell_angle_beta 96.75
_cell_angle_gamma 90.00
_symmetry_space_group_name_H-M 'C 1 2/m 1'
_symmetry_Int_Tables_number 12
loop_
_symmetry_equiv_pos_as_xyz
'x,y,z'
'-x,-y,-z'
'-x,y,-z'
'x,-y,z'
'x+1/2,y+1/2,z'
'-x+1/2,-y+1/2,-z'
'-x+1/2,y+1/2,-z'
'x+1/2,-y+1/2,z'
loop_
_atom_site_label
_atom_site_fract_x
_atom_site_fract_y
_atom_site_fract_z
_atom_site_occupancy
Pm1 0.000 0.000 0.000 1
Pm2 0.109 0.000 0.379 1
Pm3 0.209 0.500 0.850 1
Sn1 0.080 0.000 0.721 1
Pb1 0.000 0.500 0.500 1
Pb2 0.131 0.500 0.119 1
Pb3 0.248 0.000 0.629 1
```

=====

Record 12
VASP calculation (GGA-PBE) on Pm5Sn4Pb2 after structural relaxation.

Results
calculated formation energy = -213 meV/atom
density = 7.7 g/cm³

The structure in CIF format:
```
data_Pm5Sn4Pb2
_cell_length_a 24.058
_cell_length_b 3.546
_cell_length_c 8.187
_cell_angle_alpha 90.00
_cell_angle_beta 93.41
_cell_angle_gamma 90.00
_symmetry_space_group_name_H-M 'C 1 2/m 1'
_symmetry_Int_Tables_number 12
loop_
_symmetry_equiv_pos_as_xyz
'x,y,z'
'-x,-y,-z'
'-x,y,-z'
'x,-y,z'
'x+1/2,y+1/2,z'
'-x+1/2,-y+1/2,-z'
'-x+1/2,y+1/2,-z'
'x+1/2,-y+1/2,z'
loop_
_atom_site_label
_atom_site_fract_x
_atom_site_fract_y
_atom_site_fract_z
_atom_site_occupancy
Pm1 0.000 0.000 0.000 1
Pm2 0.146 0.500 0.862 1
Pm3 0.229 0.500 0.295 1
Sn1 0.027 0.500 0.661 1
Sn2 0.149 0.000 0.532 1
Pb1 0.096 0.500 0.219 1
```

=====

Record 13
VASP calculation (GGA-PBE) on Pm5Sn2Pb after structural relaxation.

Results
relative energy among the computed polymorphs = 174 meV per atom
calculated formation energy = -439 meV/atom
density = 7.7 g/cm³

The structure in CIF format:
```
data_Pm5Sn2Pb
_cell_length_a 5.544
_cell_length_b 10.163
_cell_length_c 18.006
_cell_angle_alpha 90.00
_cell_angle_beta 90.00
_cell_angle_gamma 90.00
_symmetry_space_group_name_H-M 'C m c m'
_symmetry_Int_Tables_number 63
_symmetry_space_group_name_Hall '-C 2c 2'
loop_
_atom_site_label
_atom_site_fract_x
_atom_site_fract_y
_atom_site_fract_z
_atom_site_occupancy
Pm1 0.000 0.088 0.098 1
Pm2 0.000 0.224 0.750 1
Pm3 0.000 0.409 0.080 1
Sn1 0.000 0.245 0.574 1
Pb1 0.000 0.455 0.250 1
```

=====

Record 14
VASP calculation (GGA-PBE) on Pm8Sn2Pb after structural relaxation.

Results
calculated formation energy = -356 meV/atom
density = 7.4 g/cm³

The structure in CIF format:
```
data_Pm8Sn2Pb
_cell_length_a 20.075
_cell_length_b 5.174
_cell_length_c 7.089
_cell_angle_alpha 90.00
_cell_angle_beta 103.25
_cell_angle_gamma 90.00
_symmetry_space_group_name_H-M 'C 1 2/m 1'
_symmetry_Int_Tables_number 12
loop_
_symmetry_equiv_pos_as_xyz
'x,y,z'
'-x,-y,-z'
'-x,y,-z'
'x,-y,z'
'x+1/2,y+1/2,z'
'-x+1/2,-y+1/2,-z'
'-x+1/2,y+1/2,-z'
'x+1/2,-y+1/2,z'
loop_
_atom_site_label
_atom_site_fract_x
_atom_site_fract_y
_atom_site_fract_z
_atom_site_occupancy
Pm1 0.023 0.000 0.261 1
Pm2 0.094 0.500 0.979 1
Pm3 0.161 0.500 0.503 1
Pm4 0.215 0.000 0.830 1
Sn1 0.182 0.000 0.258 1
Pb1 0.000 0.500 0.500 1
```

=====

Record 15
VASP calculation (GGA-PBE) on Pm8Sn4Pb3 after structural relaxation.

Results
calculated formation energy = -436 meV/atom
density = 7.2 g/cm³

The structure in CIF format:
```
data_Pm8Sn4Pb3
_cell_length_a 12.788
_cell_length_b 12.791
_cell_length_c 8.998
_cell_angle_alpha 90.00
_cell_angle_beta 134.67
_cell_angle_gamma 90.00
_symmetry_space_group_name_H-M 'C 1 2/m 1'
_symmetry_Int_Tables_number 12
loop_
_symmetry_equiv_pos_as_xyz
'x,y,z'
'-x,-y,-z'
'-x,y,-z'
'x,-y,z'
'x+1/2,y+1/2,z'
'-x+1/2,-y+1/2,-z'
'-x+1/2,y+1/2,-z'
'x+1/2,-y+1/2,z'
loop_
_atom_site_label
_atom_site_fract_x
_atom_site_fract_y
_atom_site_fract_z
_atom_site_occupancy
Pm1 0.000 0.241 0.000 1
Pm2 0.000 0.247 0.500 1
Pm3 0.238 0.000 0.482 1
Pm4 0.239 0.000 0.995 1
Sn1 0.000 0.000 0.000 1
Sn2 0.000 0.000 0.500 1
Sn3 0.250 0.250 0.000 1
Pb1 0.000 0.500 0.500 1
Pb2 0.250 0.250 0.500 1
```

=====

Record 16
VASP calculation (GGA-PBE) on PmSn3Pb after structural relaxation.

Results
calculated formation energy = -206 meV/atom
density = 7.6 g/cm³

The structure in CIF format:
```
data_PmSn3Pb
_cell_length_a 10.546
_cell_length_b 6.481
_cell_length_c 9.005
_cell_angle_alpha 90.00
_cell_angle_beta 90.00
_cell_angle_gamma 90.00
_symmetry_space_group_name_H-M 'P b c m'
_symmetry_Int_Tables_number 57
loop_
_symmetry_equiv_pos_as_xyz
'x,y,z'
'-x,-y,-z'
'-x,-y,z+1/2'
'x,y,-z+1/2'
'x,-y+1/2,-z'
'-x,y+1/2,z'
'-x,y+1/2,-z+1/2'
'x,-y+1/2,z+1/2'
loop_
_atom_site_label
_atom_site_fract_x
_atom_site_fract_y
_atom_site_fract_z
_atom_site_occupancy
Pm1 0.146 0.104 0.250 1
Sn1 0.048 0.750 0.000 1
Sn2 0.212 0.592 0.250 1
Sn3 0.428 0.607 0.750 1
Pb1 0.387 0.250 0.000 1
```

=====

Record 17
VASP calculation (GGA-PBE) on Pm3SnPb after structural relaxation.

Results
calculated formation energy = -513 meV/atom
density = 7.6 g/cm³

The structure in CIF format:
```
data_Pm3SnPb
_cell_length_a 4.789
_cell_length_b 7.223
_cell_length_c 9.659
_cell_angle_alpha 90.00
_cell_angle_beta 90.00
_cell_angle_gamma 90.00
_symmetry_space_group_name_H-M 'P m m n'
_symmetry_Int_Tables_number 59
loop_
_symmetry_equiv_pos_as_xyz
'x,y,z'
'-x,-y,-z'
'-x+1/2,-y+1/2,z'
'x+1/2,y+1/2,-z'
'x+1/2,-y,-z'
'-x+1/2,y,z'
'-x,y+1/2,-z'
'x,-y+1/2,z'
loop_
_atom_site_label
_atom_site_fract_x
_atom_site_fract_y
_atom_site_fract_z
_atom_site_occupancy
Pm1 0.250 0.014 0.182 1
Pm2 0.250 0.250 0.575 1
Sn1 0.250 0.250 0.903 1
Pb1 0.250 0.750 0.636 1
```

=====

Record 18
VASP calculation (GGA-PBE) on Pm6Sn3Pb after structural relaxation.

Results
calculated formation energy = -463 meV/atom
density = 7.3 g/cm³

The structure in CIF format:
```
data_Pm6Sn3Pb
_cell_length_a 10.820
_cell_length_b 15.801
_cell_length_c 7.627
_cell_angle_alpha 90.00
_cell_angle_beta 90.00
_cell_angle_gamma 90.00
_symmetry_space_group_name_H-M 'C m c 21'
_symmetry_Int_Tables_number 36
loop_
_symmetry_equiv_pos_as_xyz
'x,y,z'
'-x,-y,z+1/2'
'-x,y,z'
'x,-y,z+1/2'
'x+1/2,y+1/2,z'
'-x+1/2,-y+1/2,z+1/2'
'-x+1/2,y+1/2,z'
'x+1/2,-y+1/2,z+1/2'
loop_
_atom_site_label
_atom_site_fract_x
_atom_site_fract_y
_atom_site_fract_z
_atom_site_occupancy
Pm1 0.000 0.032 0.000 1
Pm2 0.000 0.287 0.076 1
Pm3 0.201 0.294 0.505 1
Pm4 0.212 0.459 0.154 1
Sn1 0.000 0.438 0.431 1
Sn2 0.148 0.123 0.308 1
Pb1 0.000 0.166 0.700 1
```

=====

Record 19
VASP calculation (GGA-PBE) on Pm2Sn3Pb3 after structural relaxation.

Results
calculated formation energy = -417 meV/atom
density = 9.3 g/cm³

The structure in CIF format:
```
data_Pm2Sn3Pb3
_cell_length_a 4.807
_cell_length_b 4.848
_cell_length_c 9.764
_cell_angle_alpha 90.00
_cell_angle_beta 90.00
_cell_angle_gamma 90.00
_symmetry_space_group_name_H-M 'P m m m'
_symmetry_Int_Tables_number 47
loop_
_symmetry_equiv_pos_as_xyz
'x,y,z'
'-x,-y,-z'
'-x,-y,z'
'x,y,-z'
'x,-y,-z'
'-x,y,z'
'-x,y,-z'
'x,-y,z'
loop_
_atom_site_label
_atom_site_fract_x
_atom_site_fract_y
_atom_site_fract_z
_atom_site_occupancy
Pm1 0.000 0.000 0.242 1
Sn1 0.500 0.000 0.000 1
Sn2 0.500 0.500 0.248 1
Pb1 0.000 0.500 0.000 1
Pb2 0.000 0.500 0.500 1
Pb3 0.500 0.000 0.500 1
```

=====

Record 20
VASP calculation (GGA-PBE) on Pm8Sn2Pb3 after structural relaxation.

Results
calculated formation energy = -317 meV/atom
density = 7.9 g/cm³

The structure in CIF format:
```
data_Pm8Sn2Pb3
_cell_length_a 18.109
_cell_length_b 6.755
_cell_length_c 7.032
_cell_angle_alpha 90.00
_cell_angle_beta 100.80
_cell_angle_gamma 90.00
_symmetry_space_group_name_H-M 'C 1 2/m 1'
_symmetry_Int_Tables_number 12
loop_
_symmetry_equiv_pos_as_xyz
'x,y,z'
'-x,-y,-z'
'-x,y,-z'
'x,-y,z'
'x+1/2,y+1/2,z'
'-x+1/2,-y+1/2,-z'
'-x+1/2,y+1/2,-z'
'x+1/2,-y+1/2,z'
loop_
_atom_site_label
_atom_site_fract_x
_atom_site_fract_y
_atom_site_fract_z
_atom_site_occupancy
Pm1 0.046 0.000 0.202 1
Pm2 0.153 0.246 0.845 1
Pm3 0.162 0.500 0.338 1
Sn1 0.214 0.000 0.279 1
Pb1 0.000 0.284 0.500 1
Pb2 0.000 0.500 0.000 1
```